A plane-wave DFT calculation with PBE was carried out for an optimized crystal structure of Rb2ZrBi2.

Properties
- DFT formation energy (eV per atom) = -0.05
- excess energy over the best structure of this formula in the dataset (eV/atom) = 0.277
- Fermi-level density of states (states/eV per atom) = 0.5500

Cell and atoms, written as CIF:
```
data_Rb2ZrBi2
_space_group_name_H-M_alt 'P 1'
_space_group_IT_number 1
_space_group_name_Hall 'P 1'
_cell_length_a 7.9387
_cell_length_b 7.9387
_cell_length_c 6.2721
_cell_angle_alpha 90.00
_cell_angle_beta 90.00
_cell_angle_gamma 90.00
loop_
_atom_site_label
_atom_site_fract_x
_atom_site_fract_y
_atom_site_fract_z
Rb1 0.1649 0.3351 0.0000
Rb2 0.3351 0.8351 0.0000
Rb3 0.6649 0.1649 0.0000
Rb4 0.8351 0.6649 0.0000
Zr1 0.0000 0.0000 0.5000
Zr2 0.5000 0.5000 0.5000
Bi1 0.1501 0.6501 0.5000
Bi2 0.3499 0.1501 0.5000
Bi3 0.6501 0.8499 0.5000
Bi4 0.8499 0.3499 0.5000
```